1.
Compound: Zr2AlTlV
Source: Alexandria
Functional: PBE
Structure: relaxed

a b c (Å): 5.349 4.723 5.349
angles (deg): 90.00 90.00 90.00
Fractional positions:
Tl1 0.000 0.000 0.000
Al1 0.000 0.500 0.000
Zr1 0.000 0.000 0.500
Zr2 0.500 0.000 0.000
V1 0.500 0.500 0.500

Properties
Crystal system ... tetragonal
Formation enthalpy at 0 K ... 1.5441 eV per atom
Symmetry ... P4/mmm, No. 123

=====

2.
Compound: AlTl2W
Source: Alexandria
Functional: PBE
Structure: relaxed

a b c (Å): 7.991 7.991 6.329
angles (deg): 50.85 50.85 90.00
Fractional positions:
Tl1 0.641 0.125 0.250
Tl2 0.109 0.625 0.250
Tl3 0.375 0.359 0.750
Tl4 0.875 0.891 0.750
Al1 0.500 0.500 0.000
Al2 0.250 0.750 0.500
W1 0.000 0.000 0.000
W2 0.750 0.250 0.500

Properties
Crystal system ... tetragonal
Distance to the lowest polymorph of the same formula ... 635 meV per atom
Formation enthalpy at 0 K ... 1.1420 eV per atom
Symmetry ... I-42d, No. 122

=====

3.
Compound: AlTl2W
Source: Alexandria
Functional: PBE
Structure: relaxed

a b c (Å): 10.963 10.963 10.963
angles (deg): 15.94 15.94 15.94
Fractional positions:
Tl1 0.995 0.995 0.995
Tl2 0.505 0.505 0.505
Al1 0.750 0.750 0.750
W1 0.250 0.250 0.250

Properties
Crystal system ... trigonal
Distance to the lowest polymorph of the same formula ... 288 meV per atom
Formation enthalpy at 0 K ... 0.7947 eV per atom
Symmetry ... R-3m, No. 166

=====

4.
Compound: AlTlW2
Source: Alexandria
Functional: PBE
Structure: relaxed

a b c (Å): 3.242 4.680 4.595
angles (deg): 90.00 90.00 90.00
Fractional positions:
Tl1 0.000 0.500 0.500
Al1 0.500 0.000 0.500
W1 0.000 0.000 0.000
W2 0.500 0.500 0.000

Properties
Crystal system ... orthorhombic
Distance to the lowest polymorph of the same formula ... 259 meV per atom
Formation enthalpy at 0 K ... 0.6710 eV per atom
Symmetry ... Pmmm, No. 47

=====

5.
Compound: AlTl2W
Source: Alexandria
Functional: PBE
Structure: relaxed

a b c (Å): 7.849 7.849 7.849
angles (deg): 158.73 146.47 40.05
Fractional positions:
Tl1 0.926 0.926 0.000
Tl2 0.574 0.574 0.000
Al1 0.250 0.750 0.500
W1 0.750 0.250 0.500

Properties
Crystal system ... orthorhombic
Distance to the lowest polymorph of the same formula ... 23 meV per atom
Formation enthalpy at 0 K ... 0.5300 eV per atom
Symmetry ... Immm, No. 71

=====

6.
Compound: AlTlW2
Source: Alexandria
Functional: PBE
Structure: relaxed

a b c (Å): 5.278 5.278 5.278
angles (deg): 136.03 136.03 63.93
Fractional positions:
Tl1 0.750 0.250 0.500
Al1 0.250 0.750 0.500
W1 0.000 0.000 0.000
W2 0.500 0.500 0.000

Properties
Crystal system ... tetragonal
Distance to the lowest polymorph of the same formula ... 359 meV per atom
Formation enthalpy at 0 K ... 0.7712 eV per atom
Symmetry ... I4/mmm, No. 139

=====

7.
Compound: AlTlW2
Source: Alexandria
Functional: PBE
Structure: relaxed

a b c (Å): 4.988 4.988 4.814
angles (deg): 79.96 79.96 37.36
Fractional positions:
Tl1 0.250 0.250 0.250
Al1 0.750 0.750 0.750
W1 0.003 0.003 0.966
W2 0.497 0.497 0.534

Properties
Crystal system ... monoclinic
Distance to the lowest polymorph of the same formula ... 196 meV per atom
Formation enthalpy at 0 K ... 0.6081 eV per atom
Symmetry ... C2/m, No. 12

=====

8.
Compound: AlTl3W
Source: Alexandria
Functional: PBE
Structure: relaxed

a b c (Å): 5.320 5.320 5.320
angles (deg): 90.00 90.00 90.00
Fractional positions:
Tl1 0.000 0.500 0.000
Tl2 0.000 0.000 0.500
Tl3 0.500 0.000 0.000
Al1 0.000 0.000 0.000
W1 0.500 0.500 0.500

Properties
Crystal system ... cubic
Distance to the lowest polymorph of the same formula ... 503 meV per atom
Formation enthalpy at 0 K ... 1.4508 eV per atom
Symmetry ... Pm-3m, No. 221

=====

D(E_F) values, unit states/eV/atom, following the record order: 1.82; 0.48; 0.75; 0.57; 0.74; 0.71; 0.56; 0.43.
Calculated total energy values, unit eV/f.u., following the record order: -24.6; -16.9; -18.2; -29.3; -19.3; -28.9; -29.6; -16.5.